Below is a geometry-optimized BeZnTe2S structure, with properties calculated at the PBE level.

Results
**Formation energy from raw total energies**: -334 meV/atom
**Energy above the most stable polymorph in this dataset**: 75 meV/atom
**M_tot**: 0.00 μB per formula unit
**Space group**: No. 8

Geometry as POSCAR:
```
BeZnTe2S
1.0
-0.259 -3.128 -5.640
-2.403 -1.870 1.147
-7.554 10.654 1.544
Te Zn S Be
4 2 2 2
Direct
0.484 0.000 0.319
0.764 0.000 0.635
0.484 0.500 0.819
0.764 0.500 0.135
0.153 0.000 0.835
0.153 0.500 0.335
0.100 0.500 0.496
0.100 0.000 0.996
0.914 0.500 0.993
0.914 0.000 0.493
```

Below is a geometry-optimized Tb2PuTe3 structure, with properties calculated at the PBE level.

Results
**Formation energy from raw total energies**: -1262 meV/atom
**M_tot**: 6.05 μB per formula unit
**Space group**: No. 71

Geometry as POSCAR:
```
Tb2PuTe3
1.0
-3.028 -1.187 -2.930
-2.119 -4.307 3.934
-1.627 7.150 2.056
Pu Te Tb
1 3 2
Direct
0.500 0.500 0.500
0.500 0.000 0.500
0.832 0.332 0.164
0.168 0.668 0.836
0.833 0.833 0.166
0.167 0.167 0.834
```

Below is a geometry-optimized Li5As structure, with properties calculated at the PBE level.

Results
**M_tot**: 1.26 μB per formula unit
**Space group**: No. 191
**ΔH_f (0 K)**: -2.4 kJ per mole of atoms

Geometry as POSCAR:
```
Li5As
1.0
2.493 -4.319 0.000
2.493 4.319 0.000
0.000 0.000 4.825
Li As
5 1
Direct
0.500 0.000 0.500
0.667 0.333 0.000
0.333 0.667 0.000
0.000 0.500 0.500
0.500 0.500 0.500
0.000 0.000 0.000
```

Below is a geometry-optimized KMgCr2 structure, with properties calculated at the PBE level.

Results
**M_tot**: 9.04 μB per formula unit
**Space group**: No. 12
**ΔH_f (0 K)**: 97.0 kJ per mole of atoms

Geometry as POSCAR:
```
KMgCr2
1.0
-4.927 -0.134 -1.493
-4.452 -2.552 0.426
-2.545 4.019 5.696
Mg Cr K
1 2 1
Direct
0.250 0.250 0.250
0.514 0.514 0.412
0.986 0.986 0.088
0.750 0.750 0.750
```